# 1
CaAs2Pd6 | GGA-PBE | optimized geometry

Cell: 4.3111 4.3111 8.5102 Å, 90.00 90.00 90.00°
Atoms (fractional coordinates):
Pd (0.0000, 0.5000, 0.7121)
Pd (0.5000, 0.0000, 0.7121)
Pd (0.0000, 0.5000, 0.2879)
Pd (0.5000, 0.5000, 0.5000)
Pd (0.0000, 0.0000, 0.5000)
Pd (0.5000, 0.0000, 0.2879)
As (0.5000, 0.5000, 0.8492)
As (0.5000, 0.5000, 0.1508)
Ca (0.0000, 0.0000, 0.0000)

Properties
energy relative to the lowest polymorph listed for this composition: 0.000 eV/atom
density of states at the Fermi level: 6.4 states/eV per cell
calculated formation energy: -44.3 kJ/mol of atoms



# 2
NaPrSn | GGA-PBE | optimized geometry

Cell: 5.2753 5.2753 5.2753 Å, 60.00 60.00 60.00°
Atoms (fractional coordinates):
Pr (0.0000, 0.0000, 0.0000)
Sn (0.2500, 0.2500, 0.2500)
Na (0.5000, 0.5000, 0.5000)

Properties
calculated formation energy: -33.8 kJ/mol of atoms



# 3
NaPtBr4 | GGA-PBE | optimized geometry

Cell: 6.8325 6.8325 6.9914 Å, 119.25 119.25 90.00°
Atoms (fractional coordinates):
Br (0.1775, 0.1282, 0.7321)
Br (0.5546, 0.6040, 0.7321)
Br (0.8718, 0.4454, 0.2679)
Br (0.3960, 0.8225, 0.2679)
Pt (0.5000, 0.5000, 0.0000)
Na (0.7500, 0.2500, 0.5000)

Properties
formation energy without anion corrections: -0.37 eV per atom



# 4
HfMgSe | GGA-PBE | optimized geometry

Cell: 3.4997 5.9579 6.6783 Å, 100.41 105.01 89.95°
Atoms (fractional coordinates):
Mg (0.8322, 0.8218, 0.3212)
Mg (0.4417, 0.4660, 0.5287)
Se (0.5074, 0.0121, 0.6690)
Se (0.2638, 0.1430, 0.1882)
Hf (0.1101, 0.7732, 0.8760)
Hf (0.6653, 0.3788, 0.9882)

Properties
energy relative to the lowest polymorph listed for this composition: 0.046 eV/atom
formation energy without anion corrections: -0.60 eV per atom
density of states at the Fermi level: 2.3 states/eV per cell



# 5
LaSmLuSc | GGA-PBE | optimized geometry

Cell: 5.6124 5.6124 5.6124 Å, 60.00 60.00 60.00°
Atoms (fractional coordinates):
Lu (0.5000, 0.5000, 0.5000)
Sc (0.0000, 0.0000, 0.0000)
Sm (0.2500, 0.2500, 0.2500)
La (0.7500, 0.7500, 0.7500)

Properties
density of states at the Fermi level: 6.2 states/eV per cell
calculated formation energy: 7.5 kJ/mol of atoms



# 6
SiSn2HPt | GGA-PBE | optimized geometry

Cell: 5.4000 4.5235 5.4000 Å, 90.00 90.00 90.00°
Atoms (fractional coordinates):
Sn (0.5000, 0.0000, 0.0000)
Sn (0.0000, 0.0000, 0.5000)
Pt (0.0000, 0.0000, 0.0000)
H (0.5000, 0.5000, 0.5000)
Si (0.0000, 0.5000, 0.0000)

Properties
calculated total energy: -3.945 eV/atom
density of states at the Fermi level: 7.1 states/eV per cell



# 7
CeYIn2 | GGA-PBE | optimized geometry

Cell: 3.7411 5.4625 5.4625 Å, 90.00 90.00 90.00°
Atoms (fractional coordinates):
In (0.0000, 0.0000, 0.5000)
In (0.0000, 0.5000, 0.0000)
Y (0.5000, 0.0000, 0.0000)
Ce (0.5000, 0.5000, 0.5000)

Properties
energy relative to the lowest polymorph listed for this composition: 0.038 eV/atom
density of states at the Fermi level: 8.1 states/eV per cell
calculated formation energy: -37.6 kJ/mol of atoms



# 8
PaCuPb2 | GGA-PBE | optimized geometry

Cell: 3.4480 3.4480 8.1255 Å, 90.00 90.00 90.00°
Atoms (fractional coordinates):
Pb (0.0000, 0.0000, 0.2095)
Pb (0.0000, 0.0000, 0.7905)
Pa (0.5000, 0.5000, 0.5000)
Cu (0.5000, 0.5000, 0.0000)

Properties
energy relative to the lowest polymorph listed for this composition: 0.172 eV/atom
density of states at the Fermi level: 5.4 states/eV per cell
calculated formation energy: 28.2 kJ/mol of atoms



# 9
PmErSnSb | GGA-PBE | optimized geometry

Cell: 5.4115 5.4115 5.4115 Å, 60.00 60.00 60.00°
Atoms (fractional coordinates):
Er (0.0000, 0.0000, 0.0000)
Sn (0.7500, 0.7500, 0.7500)
Sb (0.2500, 0.2500, 0.2500)
Pm (0.5000, 0.5000, 0.5000)

Properties
formation energy without anion corrections: -0.63 eV per atom
density of states at the Fermi level: 5.8 states/eV per cell



# 10
BeZnAs3 | GGA-PBE | optimized geometry

Cell: 4.7968 4.7968 4.7968 Å, 90.00 90.00 90.00°
Atoms (fractional coordinates):
As (0.0000, 0.5000, 0.0000)
As (0.5000, 0.0000, 0.0000)
As (0.0000, 0.0000, 0.5000)
Be (0.5000, 0.5000, 0.5000)
Zn (0.0000, 0.0000, 0.0000)

Properties
energy relative to the lowest polymorph listed for this composition: 0.586 eV/atom
density of states at the Fermi level: 2.8 states/eV per cell
calculated formation energy: 110.0 kJ/mol of atoms



# 11
TbZrGa3 | GGA-PBE | optimized geometry

Cell: 4.0594 4.0143 12.7212 Å, 99.08 90.00 90.00°
Atoms (fractional coordinates):
Zr (0.2500, 0.7938, 0.5876)
Zr (0.7500, 0.2062, 0.4124)
Ga (0.7500, 0.5255, 0.0510)
Ga (0.2500, 0.4745, 0.9490)
Ga (0.7500, 0.3175, 0.6350)
Ga (0.7500, 0.6233, 0.2466)
Ga (0.2500, 0.3767, 0.7534)
Ga (0.2500, 0.6825, 0.3650)
Tb (0.7500, 0.9244, 0.8487)
Tb (0.2500, 0.0756, 0.1513)

Properties
density of states at the Fermi level: 5.1 states/eV per cell
calculated formation energy: -59.9 kJ/mol of atoms



# 12
Rb2InAg2 | GGA-PBE | optimized geometry

Cell: 5.2760 5.2760 8.2090 Å, 71.25 71.25 90.00°
Atoms (fractional coordinates):
In (0.0000, 0.0000, 0.0000)
Rb (0.2500, 0.7500, 0.5000)
Rb (0.7500, 0.2500, 0.5000)
Ag (0.5921, 0.5921, 0.8157)
Ag (0.4079, 0.4079, 0.1843)

Properties
energy relative to the lowest polymorph listed for this composition: 0.431 eV/atom
density of states at the Fermi level: 4.0 states/eV per cell
calculated formation energy: 37.5 kJ/mol of atoms



# 13
K14RbO | GGA-PBE | optimized geometry

Cell: 10.1701 10.1701 11.1483 Å, 90.00 90.00 104.80°
Atoms (fractional coordinates):
K (0.8584, 0.1416, 0.6575)
K (0.0282, 0.3606, 0.0000)
K (0.5637, 0.4363, 0.0000)
K (0.5166, 0.1879, 0.6561)
K (0.5166, 0.1879, 0.3439)
K (0.6394, 0.9718, 0.0000)
K (0.3194, 0.6806, 0.7964)
K (0.3194, 0.6806, 0.2036)
K (0.2266, 0.4029, 0.5000)
K (0.5971, 0.7734, 0.5000)
K (0.8121, 0.4834, 0.6561)
K (0.8121, 0.4834, 0.3439)
K (0.0780, 0.9220, 0.0000)
K (0.8584, 0.1416, 0.3425)
Rb (0.1234, 0.8766, 0.5000)
O (0.7306, 0.2694, 0.5000)

Properties
formation energy without anion corrections: -0.13 eV per atom
density of states at the Fermi level: 11.1 states/eV per cell



# 14
Pm2SiPdO6 | GGA-PBE | optimized geometry

Cell: 4.6216 5.3061 5.3061 Å, 90.00 90.00 90.00°
Atoms (fractional coordinates):
O (0.7102, 0.7776, 0.7776)
O (0.7102, 0.2224, 0.2224)
O (0.7102, 0.2224, 0.7776)
O (0.7102, 0.7776, 0.2224)
O (0.2347, 0.0000, 0.0000)
O (0.1220, 0.5000, 0.5000)
Si (0.5943, 0.0000, 0.0000)
Pd (0.6087, 0.5000, 0.5000)
Pm (0.0231, 0.5000, 0.0000)
Pm (0.0231, 0.0000, 0.5000)

Properties
formation energy without anion corrections: -2.39 eV per atom
density of states at the Fermi level: 1.7 states/eV per cell



# 15
Th2FeI | GGA-PBE | optimized geometry

Cell: 4.0435 4.0435 8.5707 Å, 76.36 76.36 60.00°
Atoms (fractional coordinates):
Th (0.0569, 0.0569, 0.8292)
Th (0.2768, 0.2768, 0.1696)
I (0.4985, 0.4985, 0.5046)
Fe (0.6678, 0.6678, 0.9965)

Properties
energy relative to the lowest polymorph listed for this composition: 0.012 eV/atom
formation energy without anion corrections: -0.48 eV per atom
density of states at the Fermi level: 3.5 states/eV per cell



# 16
ScFeAu2 | GGA-PBE | optimized geometry

Cell: 3.9311 3.9311 10.0037 Å, 78.67 78.67 90.00°
Atoms (fractional coordinates):
Sc (0.2500, 0.7500, 0.5000)
Sc (0.5000, 0.5000, 0.0000)
Au (0.6344, 0.1250, 0.2500)
Au (0.1156, 0.6250, 0.2500)
Au (0.3750, 0.3656, 0.7500)
Au (0.8750, 0.8844, 0.7500)
Fe (0.7500, 0.2500, 0.5000)
Fe (0.0000, 0.0000, 0.0000)

Properties
density of states at the Fermi level: 6.3 states/eV per cell
calculated formation energy: 6.3 kJ/mol of atoms



# 17
CsTlAu2 | GGA-PBE | optimized geometry

Cell: 5.0606 5.0606 6.9388 Å, 68.61 68.61 60.00°
Atoms (fractional coordinates):
Au (0.8055, 0.8055, 0.5836)
Au (0.1945, 0.1945, 0.4164)
Cs (0.0000, 0.0000, 0.0000)
Tl (0.5000, 0.5000, 0.5000)

Properties
energy relative to the lowest polymorph listed for this composition: 0.062 eV/atom
density of states at the Fermi level: 2.3 states/eV per cell
calculated formation energy: -14.0 kJ/mol of atoms



# 18
Ho2LuN | GGA-PBE | optimized geometry

Cell: 3.1561 3.1561 8.5649 Å, 90.00 90.00 90.00°
Atoms (fractional coordinates):
N (0.5000, 0.5000, 0.0000)
Lu (0.5000, 0.5000, 0.5000)
Ho (0.0000, 0.0000, 0.8365)
Ho (0.0000, 0.0000, 0.1635)

Properties
energy relative to the lowest polymorph listed for this composition: 0.444 eV/atom
formation energy without anion corrections: -0.23 eV per atom
density of states at the Fermi level: 3.9 states/eV per cell



# 19
Pr2Dy6Cd | GGA-PBE | optimized geometry

Cell: 5.5118 9.8808 10.3201 Å, 90.01 90.01 90.00°
Atoms (fractional coordinates):
Cd (0.5000, 0.5000, 0.0000)
Cd (0.0000, 0.0000, 0.5000)
Dy (0.0000, 0.3199, 0.4300)
Dy (0.0002, 0.9810, 0.8201)
Dy (0.5000, 0.8199, 0.0701)
Dy (0.5000, 0.1801, 0.9299)
Dy (0.4998, 0.4810, 0.6799)
Dy (0.0002, 0.3623, 0.1057)
Dy (0.4998, 0.8623, 0.3943)
Dy (0.9998, 0.0190, 0.1799)
Dy (0.9998, 0.6377, 0.8943)
Dy (0.0000, 0.6801, 0.5700)
Dy (0.5002, 0.5190, 0.3201)
Dy (0.5002, 0.1377, 0.6057)
Pr (0.4999, 0.1924, 0.2553)
Pr (0.5001, 0.8076, 0.7447)
Pr (0.9999, 0.3075, 0.7553)
Pr (0.0001, 0.6925, 0.2447)

Properties
density of states at the Fermi level: 27.4 states/eV per cell
calculated formation energy: 1.5 kJ/mol of atoms



# 20
LaNiAsN | GGA-PBE | optimized geometry

Cell: 3.9138 3.9138 8.4509 Å, 90.00 90.00 90.00°
Atoms (fractional coordinates):
Ni (0.0000, 0.0000, 0.5000)
Ni (0.5000, 0.5000, 0.5000)
La (0.5000, 0.0000, 0.1594)
La (0.0000, 0.5000, 0.8406)
N (0.5000, 0.0000, 0.8762)
N (0.0000, 0.5000, 0.1238)
As (0.0000, 0.5000, 0.3513)
As (0.5000, 0.0000, 0.6487)

Properties
formation energy without anion corrections: -0.90 eV per atom
density of states at the Fermi level: 3.2 states/eV per cell



# 21
BaCa2AsN | GGA-PBE | optimized geometry

Cell: 4.8641 4.8641 5.4515 Å, 90.00 90.00 90.00°
Atoms (fractional coordinates):
Ba (0.0000, 0.0000, 0.5000)
Ca (0.5000, 0.0000, 0.0000)
Ca (0.0000, 0.5000, 0.0000)
N (0.0000, 0.0000, 0.0000)
As (0.5000, 0.5000, 0.5000)

Properties
formation energy without anion corrections: -0.87 eV per atom
density of states at the Fermi level: 0.4 states/eV per cell



# 22
PmPt2Rh | GGA-PBE | optimized geometry

Cell: 8.5853 5.4695 8.0934 Å, 90.00 90.00 90.00°
Atoms (fractional coordinates):
Pt (0.5000, 0.0000, 0.5000)
Pt (0.0000, 0.5000, 0.0000)
Pt (0.2553, 0.7500, 0.9181)
Pt (0.5000, 0.5000, 0.5000)
Pt (0.7447, 0.2500, 0.0819)
Pt (0.2553, 0.2500, 0.0819)
Pt (0.0000, 0.0000, 0.0000)
Pt (0.7447, 0.7500, 0.9181)
Pm (0.0000, 0.2500, 0.6582)
Pm (0.5000, 0.2500, 0.8277)
Pm (0.0000, 0.7500, 0.3418)
Pm (0.5000, 0.7500, 0.1723)
Rh (0.5000, 0.2500, 0.2393)
Rh (0.0000, 0.2500, 0.3036)
Rh (0.5000, 0.7500, 0.7607)
Rh (0.0000, 0.7500, 0.6964)

Properties
density of states at the Fermi level: 16.2 states/eV per cell
calculated formation energy: -14.5 kJ/mol of atoms



# 23
AcEuSnSb | GGA-PBE | optimized geometry

Cell: 5.7034 5.7034 5.7034 Å, 60.00 60.00 60.00°
Atoms (fractional coordinates):
Eu (0.0000, 0.0000, 0.0000)
Sb (0.7500, 0.7500, 0.7500)
Ac (0.5000, 0.5000, 0.5000)
Sn (0.2500, 0.2500, 0.2500)

Properties
formation energy without anion corrections: -0.70 eV per atom
density of states at the Fermi level: 4.1 states/eV per cell



# 24
NaBi2IO6 | GGA-PBE | optimized geometry

Cell: 5.9094 5.9093 6.7886 Å, 90.00 115.81 120.00°
Atoms (fractional coordinates):
Bi (0.5502, 0.2746, 0.8107)
Bi (0.6372, 0.8181, 0.4413)
O (0.4911, 0.9122, 0.6553)
O (0.0793, 0.3164, 0.1854)
O (0.7573, 0.5779, 0.6554)
O (0.4376, 0.1201, 0.1854)
O (0.0915, 0.1783, 0.6553)
O (0.8830, 0.7618, 0.1853)
Na (0.9984, 0.4987, 0.4830)
I (0.0401, 0.0195, 0.0455)

Properties
formation energy without anion corrections: -0.98 eV per atom
density of states at the Fermi level: 0.0 states/eV per cell



# 25
Cs2PtC2O4F4 | GGA-PBE | optimized geometry

Cell: 8.2127 8.2127 9.9292 Å, 90.26 90.26 45.85°
Atoms (fractional coordinates):
F (0.2512, 0.2512, 0.6649)
F (0.4887, 0.4887, 0.2782)
F (0.1671, 0.6140, 0.5531)
F (0.6140, 0.1671, 0.5531)
F (0.3860, 0.8329, 0.4469)
F (0.8329, 0.3860, 0.4469)
F (0.5113, 0.5113, 0.7218)
F (0.7488, 0.7488, 0.3351)
C (0.2403, 0.4840, 0.9622)
C (0.7597, 0.5160, 0.0378)
C (0.4840, 0.2403, 0.9622)
C (0.5160, 0.7597, 0.0378)
Pt (0.6181, 0.6181, 0.3062)
Pt (0.3819, 0.3819, 0.6938)
O (0.8664, 0.4237, 0.9330)
O (0.5763, 0.1336, 0.0670)
O (0.8394, 0.4177, 0.1571)
O (0.4177, 0.8394, 0.1571)
O (0.5823, 0.1606, 0.8429)
O (0.4237, 0.8664, 0.9330)
O (0.1606, 0.5823, 0.8429)
O (0.1336, 0.5763, 0.0670)
Cs (0.7259, 0.7259, 0.6675)
Cs (0.2741, 0.2741, 0.3325)
Cs (0.0447, 0.0447, 0.7092)
Cs (0.9553, 0.9553, 0.2908)

Properties
formation energy without anion corrections: -1.66 eV per atom
density of states at the Fermi level: 0.0 states/eV per cell